Entry 1:
Computed, not measured: a relaxed Pm6Bi3O crystal at the PBE-GGA level of DFT. Values from VASP.

Calculated values
formation energy without anion corrections = -0.994 eV/atom

Cell and atoms, written as Quantum ESPRESSO input:
```
&SYSTEM
  ibrav = 0, nat = 20, ntyp = 3
/
ATOMIC_SPECIES
Pm 145.00 Pm.upf
Bi 208.98 Bi.upf
O 16.00 O.upf
CELL_PARAMETERS angstrom
-1.182 -5.628 4.368
-2.384 -5.428 -7.639
9.535 -1.426 0.741
ATOMIC_POSITIONS crystal
Pm 0.690 0.294 0.366
Pm 0.224 0.760 0.240
Pm 0.678 0.896 0.426
Pm 0.724 0.240 0.760
Pm 0.190 0.366 0.294
Pm 0.125 0.062 0.938
Pm 0.625 0.938 0.062
Pm 0.690 0.634 0.706
Pm 0.178 0.426 0.896
Pm 0.190 0.706 0.634
Pm 0.678 0.574 0.104
Pm 0.178 0.104 0.574
Bi 0.489 0.264 0.055
Bi 0.890 0.605 0.395
Bi 0.489 0.945 0.736
Bi 0.989 0.736 0.945
Bi 0.390 0.395 0.605
Bi 0.989 0.055 0.264
O 0.533 0.793 0.207
O 0.033 0.207 0.793
```

---

Entry 2:
Computed, not measured: a relaxed AcFe2H8 crystal at the PBE-GGA level of DFT. Values from VASP.

Calculated values
final energy = -49.9 eV/f.u.

Cell and atoms, written as Quantum ESPRESSO input:
```
&SYSTEM
  ibrav = 0, nat = 11, ntyp = 3
/
ATOMIC_SPECIES
H 1.01 H.upf
Fe 55.84 Fe.upf
Ac 227.00 Ac.upf
CELL_PARAMETERS angstrom
4.676 0.050 -0.043
-0.062 4.044 -2.160
0.044 -0.152 4.583
ATOMIC_POSITIONS crystal
H 0.644 0.997 0.296
H 0.908 0.330 0.663
H 0.644 0.296 0.997
H 0.908 0.663 0.330
H 0.644 0.698 0.698
H 0.346 0.997 0.532
H 0.346 0.532 0.997
H 0.346 0.462 0.462
Fe 0.567 0.664 0.330
Fe 0.567 0.330 0.664
Ac 0.081 0.997 0.997
```